Entry 1:
NaZn2Ga5: optimized geometry, PBE-GGA.

```
NaZn2Ga5
1.0
4.198 0.000 0.000
2.099 6.321 0.159
2.099 2.053 5.980
Na Zn Ga
1 2 5
direct
0.000 0.000 0.000
0.254 0.246 0.246
0.746 0.754 0.754
0.366 0.444 0.824
0.634 0.176 0.556
0.366 0.824 0.444
0.000 0.500 0.500
0.634 0.556 0.176
```

## Properties
theoretical density = 5.30 g/cm³
formation energy = -0.049 eV/atom
E = -19.40 eV for the cell shown

***

Entry 2:
Na2ZnGa: optimized geometry, PBE-GGA.

```
Na2ZnGa
1.0
5.456 0.000 0.000
0.000 5.993 0.347
0.000 -1.855 5.710
Zn Ga Na
2 2 4
direct
0.000 0.500 0.500
0.500 0.500 0.500
0.250 0.796 0.796
0.750 0.204 0.204
0.250 0.331 0.971
0.750 0.669 0.029
0.750 0.029 0.669
0.250 0.971 0.331
```

## Properties
theoretical density = 3.16 g/cm³
formation energy = -0.035 eV/atom
E = -14.16 eV for the cell shown

***

Entry 3:
Na3Zn2Ga3: optimized geometry, PBE-GGA.

```
Na3Zn2Ga3
1.0
-1.298 2.740 -3.572
2.443 -4.623 -1.361
-13.028 -6.753 -0.444
Zn Ga Na
4 6 6
direct
0.762 0.524 0.663
0.762 0.524 0.837
0.238 0.476 0.337
0.238 0.476 0.163
0.981 0.963 0.407
0.019 0.037 0.907
0.833 0.667 0.250
0.167 0.333 0.750
0.981 0.963 0.093
0.019 0.037 0.593
0.661 0.323 0.464
0.661 0.323 0.036
0.469 0.938 0.750
0.339 0.677 0.964
0.531 0.062 0.250
0.339 0.677 0.536
```

## Properties
theoretical density = 4.06 g/cm³
formation energy = -0.018 eV/atom
E = -31.46 eV for the cell shown

***

Entry 4:
NaZnGa5: optimized geometry, PBE-GGA.

```
NaZnGa5
1.0
4.069 0.000 0.000
0.000 4.069 0.000
0.000 0.000 9.046
Ga Na Zn
5 1 1
direct
0.500 0.500 0.000
0.000 0.500 0.776
0.500 0.000 0.224
0.500 0.000 0.776
0.000 0.500 0.224
0.000 0.000 0.500
0.000 0.000 0.000
```

## Properties
theoretical density = 4.84 g/cm³
formation energy = -0.023 eV/atom
E = -17.89 eV for the cell shown

***

Entry 5:
NaZn12Ga6: optimized geometry, PBE-GGA.

```
NaZn12Ga6
1.0
-4.392 5.197 -2.725
3.798 -2.485 -5.756
-4.483 -5.502 1.833
Zn Ga Na
12 6 1
direct
0.867 0.631 0.631
0.500 0.109 0.891
0.369 0.369 0.133
0.891 0.109 0.500
0.109 0.500 0.891
0.369 0.133 0.369
0.109 0.891 0.500
0.133 0.369 0.369
0.631 0.631 0.867
0.631 0.867 0.631
0.500 0.891 0.109
0.891 0.500 0.109
0.284 0.707 0.707
0.293 0.293 0.716
0.707 0.284 0.707
0.707 0.707 0.284
0.716 0.293 0.293
0.293 0.716 0.293
0.000 0.000 0.000
```

## Properties
theoretical density = 5.91 g/cm³
formation energy = 0.070 eV/atom
E = -33.44 eV for the cell shown

***

Entry 6:
NaZn11Ga: optimized geometry, PBE-GGA.

```
NaZn11Ga
1.0
0.878 -4.227 3.050
-3.899 -5.406 -1.781
4.947 -4.052 -2.459
Zn Ga Na
11 1 1
direct
0.500 0.000 0.500
0.000 0.000 0.500
0.721 0.783 0.781
0.344 0.647 0.645
0.279 0.217 0.219
0.000 0.500 0.000
0.011 0.353 0.645
0.989 0.647 0.355
0.502 0.783 0.219
0.656 0.353 0.355
0.498 0.217 0.781
0.500 0.500 0.000
0.000 0.000 0.000
```

## Properties
theoretical density = 6.34 g/cm³
formation energy = -0.006 eV/atom
E = -18.44 eV for the cell shown

***

Entry 7:
Na2ZnGa: optimized geometry, PBE-GGA.

```
Na2ZnGa
1.0
3.102 0.000 0.000
0.000 3.102 0.000
0.000 0.000 9.393
Zn Na Ga
1 2 1
direct
0.500 0.500 0.000
0.000 0.000 0.754
0.000 0.000 0.246
0.500 0.500 0.500
```

## Properties
theoretical density = 3.33 g/cm³
formation energy = 0.069 eV/atom
E = -6.66 eV for the cell shown

***

Entry 8:
Na2Zn2Ga: optimized geometry, PBE-GGA.

```
Na2Zn2Ga
1.0
-4.695 2.250 6.952
3.079 -6.884 4.308
2.292 1.658 1.011
Zn Na Ga
4 4 2
direct
0.164 0.664 0.500
0.336 0.164 0.500
0.836 0.336 0.500
0.664 0.836 0.500
0.135 0.365 0.000
0.865 0.635 0.000
0.365 0.865 0.000
0.635 0.135 0.000
0.000 0.000 0.000
0.500 0.500 0.000
```

## Properties
theoretical density = 3.61 g/cm³
formation energy = 0.205 eV/atom
E = -14.37 eV for the cell shown

***

Entry 9:
Na3Zn2Ga5: optimized geometry, PBE-GGA.

```
Na3Zn2Ga5
1.0
-1.364 -3.736 4.666
7.539 -3.088 3.759
-0.151 4.625 7.687
Na Zn Ga
6 4 10
direct
0.387 0.370 0.855
0.887 0.855 0.370
0.613 0.630 0.145
0.750 0.000 0.000
0.113 0.145 0.630
0.250 0.000 0.000
0.842 0.309 0.007
0.342 0.007 0.309
0.658 0.993 0.691
0.158 0.691 0.993
0.374 0.763 0.489
0.999 0.251 0.251
0.001 0.749 0.749
0.750 0.500 0.500
0.501 0.749 0.749
0.626 0.237 0.511
0.250 0.500 0.500
0.126 0.511 0.237
0.499 0.251 0.251
0.874 0.489 0.763
```

## Properties
theoretical density = 4.18 g/cm³
formation energy = -0.059 eV/atom
E = -44.45 eV for the cell shown

***

Entry 10:
NaZn2Ga2: optimized geometry, PBE-GGA.

```
NaZn2Ga2
1.0
8.169 0.000 0.000
0.000 8.169 0.000
0.000 0.000 2.793
Ga Zn Na
4 4 2
direct
0.655 0.845 0.500
0.345 0.155 0.500
0.845 0.345 0.500
0.155 0.655 0.500
0.140 0.360 0.000
0.860 0.640 0.000
0.360 0.860 0.000
0.640 0.140 0.000
0.500 0.500 0.000
0.000 0.000 0.000
```

## Properties
theoretical density = 5.23 g/cm³
formation energy = -0.017 eV/atom
E = -20.01 eV for the cell shown

***

Entry 11:
Na5ZnGa4: optimized geometry, PBE-GGA.

```
Na5ZnGa4
1.0
4.142 0.000 -0.864
-0.759 6.886 -3.636
-0.098 -0.674 9.886
Na Ga Zn
5 4 1
direct
0.162 0.313 0.324
0.185 0.787 0.369
0.838 0.687 0.676
0.500 0.500 0.000
0.815 0.213 0.631
0.030 0.846 0.060
0.628 0.976 0.257
0.372 0.024 0.743
0.970 0.154 0.940
0.500 0.000 0.000
```

## Properties
theoretical density = 2.82 g/cm³
formation energy = -0.037 eV/atom
E = -20.35 eV for the cell shown

***

Entry 12:
Na3Zn4Ga2: optimized geometry, PBE-GGA.

```
Na3Zn4Ga2
1.0
-0.717 -4.163 -1.754
3.196 3.335 -3.259
4.203 -3.536 6.674
Ga Na Zn
2 3 4
direct
0.638 0.277 0.304
0.362 0.723 0.696
0.651 0.303 0.679
0.349 0.697 0.321
0.000 0.000 0.000
0.919 0.837 0.588
0.081 0.163 0.412
0.276 0.552 0.941
0.724 0.448 0.059
```

## Properties
theoretical density = 4.28 g/cm³
formation energy = -0.025 eV/atom
E = -15.34 eV for the cell shown

***

Entry 13:
NaZnGa2: optimized geometry, PBE-GGA.

```
NaZnGa2
1.0
-2.040 -2.388 0.937
2.502 -1.589 1.398
-1.284 3.603 6.392
Ga Na Zn
2 1 1
direct
0.000 0.000 0.203
0.000 0.000 0.797
0.500 0.500 0.500
0.500 0.500 0.000
```

## Properties
theoretical density = 4.73 g/cm³
formation energy = -0.037 eV/atom
E = -8.79 eV for the cell shown

***

Entry 14:
Na2ZnGa: optimized geometry, PBE-GGA.

```
Na2ZnGa
1.0
-1.945 -4.490 0.238
2.752 -1.349 -2.957
2.776 -1.041 3.058
Zn Na Ga
1 2 1
direct
0.500 0.500 0.500
0.000 0.000 0.500
0.000 0.500 0.000
0.500 0.000 0.000
```

## Properties
theoretical density = 3.38 g/cm³
formation energy = 0.068 eV/atom
E = -6.67 eV for the cell shown

***

Entry 15:
Na2ZnGa2: optimized geometry, PBE-GGA.

```
Na2ZnGa2
1.0
4.539 0.000 0.000
2.269 5.347 -0.122
2.269 0.087 9.467
Na Ga Zn
4 4 2
direct
0.098 0.700 0.105
0.902 0.300 0.895
0.321 0.682 0.677
0.679 0.318 0.323
0.388 0.105 0.119
0.081 0.279 0.559
0.612 0.895 0.881
0.919 0.721 0.441
0.631 0.098 0.640
0.369 0.902 0.360
```

## Properties
theoretical density = 3.63 g/cm³
formation energy = -0.048 eV/atom
E = -20.41 eV for the cell shown

***

Entry 16:
NaZn9Ga4: optimized geometry, PBE-GGA.

```
NaZn9Ga4
1.0
7.817 0.000 -4.408
-2.485 7.411 -4.408
-0.158 -0.219 8.856
Zn Na Ga
18 2 8
direct
0.443 0.943 0.651
0.557 0.057 0.349
0.801 0.049 0.000
0.943 0.208 0.651
0.208 0.708 0.651
0.792 0.292 0.349
0.292 0.557 0.349
0.199 0.951 0.000
0.500 0.000 0.000
0.301 0.451 0.000
0.708 0.443 0.651
0.699 0.549 0.000
0.951 0.801 0.000
0.057 0.792 0.349
0.049 0.199 0.000
0.451 0.699 0.000
0.549 0.301 0.000
0.000 0.500 0.000
0.250 0.250 0.500
0.750 0.750 0.500
0.558 0.691 0.749
0.442 0.309 0.251
0.691 0.191 0.749
0.309 0.809 0.251
0.942 0.442 0.251
0.058 0.558 0.749
0.191 0.058 0.749
0.809 0.942 0.251
```

## Properties
theoretical density = 5.94 g/cm³
formation energy = -0.009 eV/atom
E = -50.03 eV for the cell shown

***

Entry 17:
Na2ZnGa: optimized geometry, PBE-GGA.

```
Na2ZnGa
1.0
1.260 -3.971 2.907
-0.544 0.270 5.044
-3.624 -2.706 2.313
Na Zn Ga
2 1 1
direct
0.250 0.250 0.250
0.750 0.750 0.750
0.000 0.000 0.000
0.500 0.500 0.500
```

## Properties
theoretical density = 3.24 g/cm³
formation energy = 0.109 eV/atom
E = -6.50 eV for the cell shown

***

Entry 18:
NaZn4Ga: optimized geometry, PBE-GGA.

```
NaZn4Ga
1.0
5.314 0.000 0.000
2.657 4.602 0.000
2.657 1.534 4.339
Zn Na Ga
4 1 1
direct
0.625 0.625 0.124
0.124 0.625 0.625
0.625 0.124 0.625
0.625 0.625 0.625
0.000 0.000 0.000
0.250 0.250 0.250
```

## Properties
theoretical density = 5.55 g/cm³
formation energy = 0.032 eV/atom
E = -9.25 eV for the cell shown

***

Entry 19:
Na2ZnGa2: optimized geometry, PBE-GGA.

```
Na2ZnGa2
1.0
-5.763 2.990 -1.771
-3.405 -5.545 1.717
-0.518 1.760 4.658
Ga Zn Na
4 2 4
direct
0.634 0.134 0.000
0.134 0.366 0.000
0.866 0.634 0.000
0.366 0.866 0.000
0.000 0.000 0.000
0.500 0.500 0.000
0.175 0.675 0.500
0.325 0.175 0.500
0.675 0.825 0.500
0.825 0.325 0.500
```

## Properties
theoretical density = 3.67 g/cm³
formation energy = -0.032 eV/atom
E = -20.25 eV for the cell shown

***

Entry 20:
NaZn2Ga2: optimized geometry, PBE-GGA.

```
NaZn2Ga2
1.0
8.190 0.000 0.000
0.000 8.190 0.000
0.000 0.000 2.792
Ga Na Zn
4 2 4
direct
0.857 0.643 0.000
0.143 0.357 0.000
0.643 0.143 0.000
0.357 0.857 0.000
0.500 0.500 0.000
0.000 0.000 0.000
0.348 0.152 0.500
0.152 0.652 0.500
0.848 0.348 0.500
0.652 0.848 0.500
```

## Properties
theoretical density = 5.20 g/cm³
formation energy = -0.015 eV/atom
E = -19.99 eV for the cell shown

***

Entry 21:
Na2ZnGa2: optimized geometry, PBE-GGA.

```
Na2ZnGa2
1.0
-1.901 3.092 -1.680
-3.385 -2.128 -0.086
-4.344 2.926 5.541
Zn Ga Na
1 2 2
direct
0.000 0.000 0.000
0.412 0.412 0.176
0.588 0.588 0.824
0.750 0.250 0.500
0.250 0.750 0.500
```

## Properties
theoretical density = 3.68 g/cm³
formation energy = 0.204 eV/atom
E = -8.95 eV for the cell shown

***

Entry 22:
Na2ZrGa: optimized geometry, PBE-GGA.

```
Na2ZrGa
1.0
-1.706 -8.111 2.134
4.999 -2.732 -6.387
3.858 -5.430 -0.392
Na Zr Ga
4 2 2
direct
0.375 0.414 0.750
0.164 0.625 0.250
0.586 0.125 0.250
0.875 0.836 0.750
0.000 0.000 0.000
0.750 0.250 0.500
0.250 0.750 0.500
0.500 0.500 0.000
```

## Properties
theoretical density = 3.34 g/cm³
formation energy = 0.564 eV/atom
E = -23.92 eV for the cell shown